(1)
A plane-wave DFT calculation with PBE was carried out for a geometry-optimized ScCr2B structure.

abc: 8.4126 8.4126 8.4126
angles: 154.10 154.10 36.95
Last column: nearest neighbours and their distance in Å.
Atoms (fractional coordinates):
Sc1 0.0000 0.0000 0.0000  4 B 2.67, 4 Cr 2.68
Sc2 0.7500 0.2500 0.5000  4 B 2.67, 4 Cr 2.68
Cr1 0.2782 0.6250 0.1532  2 Cr 2.02, 2 B 2.24
Cr2 0.3750 0.5282 0.6532  2 Cr 2.02, 2 B 2.24
Cr3 0.4718 0.1250 0.8468  2 Cr 2.02, 2 B 2.24
Cr4 0.8750 0.7218 0.3468  2 Cr 2.02, 2 B 2.24
B1 0.2500 0.7500 0.5000  4 Cr 2.24
B2 0.5000 0.5000 0.0000  4 Cr 2.24

Properties
As for the symmetry: I-42d (122). The total DFT energy (no corrections) is -7.554 eV per atom. As for the crystal system: tetragonal.

=====

(2)
A plane-wave DFT calculation with PBE was carried out for a geometry-optimized B5C7 structure.

abc: 3.8774 2.5688 8.0388
angles: 90.00 90.75 90.00
Last column: nearest neighbours and their distance in Å.
Atoms (fractional coordinates):
B1 0.0000 0.0000 0.0000  1 C 1.52
B2 0.0198 0.0000 0.2878  4 C 1.63-1.79
B3 0.2576 0.5000 0.6217  4 C 1.63-1.74
B4 0.2880 0.5000 0.9540  2 C 1.57-1.70, 2 B 1.74
B5 0.7066 0.0000 0.7533  3 C 1.54-1.60
C1 0.2792 0.5000 0.2964  2 C 1.51-1.56, 2 B 1.63
C2 0.5012 0.5000 0.7891  4 B 1.54-1.63
C3 0.5072 0.5000 0.1382  3 C 1.54-1.56, 1 B 1.70
C4 0.5163 0.5000 0.4464  3 C 1.51-1.55
C5 0.7258 0.0000 0.1340  2 B 1.52-1.67, 2 C 1.54
C6 0.7366 0.0000 0.4622  3 C 1.51-1.55
C7 0.9848 0.0000 0.6084  1 C 1.51, 3 B 1.60-1.67

Properties
As for the symmetry: Pm (6). The total DFT energy (no corrections) is -7.821 eV per atom. As for the crystal system: monoclinic.

=====

(3)
A plane-wave DFT calculation with PBE was carried out for a geometry-optimized La3NdTlGa structure.

abc: 8.8859 8.8859 6.5866
angles: 105.07 105.07 51.82
Last column: nearest neighbours and their distance in Å.
Atoms (fractional coordinates):
La1 0.1080 0.6251 0.9123  2 Ga 3.16-3.18, 1 Tl 3.47
La2 0.3305 0.3305 0.4030  2 Ga 3.14-3.33, 1 Tl 3.31, 2 Nd 3.50
La3 0.3749 0.8920 0.0877  2 Ga 3.16-3.18, 1 Tl 3.47
La4 0.6251 0.1080 0.9123  2 Ga 3.16-3.18, 1 Tl 3.47
La5 0.6695 0.6695 0.5970  2 Ga 3.14-3.33, 1 Tl 3.31, 2 Nd 3.50
La6 0.8920 0.3749 0.0877  2 Ga 3.16-3.18, 1 Tl 3.47
Nd1 0.1986 0.8014 0.5000  2 Ga 3.04, 1 Nd 3.08, 2 Tl 3.27
Nd2 0.8014 0.1986 0.5000  2 Ga 3.04, 1 Nd 3.08, 2 Tl 3.27
Tl1 0.1874 0.1874 0.6804  2 Nd 3.27, 5 La 3.31-3.58
Tl2 0.8126 0.8126 0.3196  2 Nd 3.27, 5 La 3.31-3.58
Ga1 0.4994 0.4994 0.7931  1 Ga 2.72, 2 Nd 3.04
Ga2 0.5006 0.5006 0.2069  1 Ga 2.72, 2 Nd 3.04

Properties
As for the symmetry: C2/m (12). The total DFT energy (no corrections) is -4.449 eV per atom. As for the crystal system: monoclinic.

=====

(4)
A plane-wave DFT calculation with PBE was carried out for a geometry-optimized AgIrN2F structure.

abc: 4.0872 4.0872 3.9463
angles: 90.00 90.00 90.00
Last column: nearest neighbours and their distance in Å.
Atoms (fractional coordinates):
Ag1 0.0000 0.0000 0.0000  2 F 1.97, 4 N 2.04
Ir1 0.5000 0.5000 0.5000  8 N 2.84, 4 F 2.89
N1 0.0000 0.5000 0.0000  2 Ag 2.04
N2 0.5000 0.0000 0.0000  2 Ag 2.04
F1 0.0000 0.0000 0.5000  2 Ag 1.97

Properties
As for the symmetry: P4/mmm (123). The total DFT energy (no corrections) is -3.946 eV per atom. As for the crystal system: tetragonal.

=====

(5)
A plane-wave DFT calculation with PBE was carried out for a geometry-optimized Sb2SeIN structure.

abc: 5.4369 5.4369 5.6272
angles: 90.00 90.00 90.00
Last column: nearest neighbours and their distance in Å.
Atoms (fractional coordinates):
Sb1 0.0000 0.5000 0.0000  2 Se 2.72
Sb2 0.5000 0.0000 0.0000  2 Se 2.72
Se1 0.0000 0.0000 0.0000  4 Sb 2.72, 2 I 2.81
I1 0.0000 0.0000 0.5000  2 Se 2.81
N1 0.5000 0.5000 0.5000  4 I 3.84, 8 Sb 3.91

Properties
As for the symmetry: P4/mmm (123). The total DFT energy (no corrections) is -2.449 eV per atom. As for the crystal system: tetragonal.

=====

(6)
A plane-wave DFT calculation with PBE was carried out for a geometry-optimized ScGePb structure.

abc: 10.5028 10.5028 10.5028
angles: 23.82 23.82 23.82
Last column: nearest neighbours and their distance in Å.
Atoms (fractional coordinates):
Sc1 0.1334 0.1334 0.1334  3 Ge 2.69
Sc2 0.8666 0.8666 0.8666  3 Ge 2.69
Ge1 0.2323 0.2323 0.2323  3 Sc 2.69, 3 Pb 2.97
Ge2 0.7677 0.7677 0.7677  3 Sc 2.69, 3 Pb 2.97
Pb1 0.3819 0.3819 0.3819  3 Ge 2.97
Pb2 0.6181 0.6181 0.6181  3 Ge 2.97

Properties
As for the symmetry: R-3m (166). The total DFT energy (no corrections) is -5.093 eV per atom. As for the crystal system: trigonal.

=====

(7)
A plane-wave DFT calculation with PBE was carried out for a geometry-optimized ZrTlMo2 structure.

abc: 3.2320 3.2320 7.4660
angles: 90.00 90.00 90.00
Last column: nearest neighbours and their distance in Å.
Atoms (fractional coordinates):
Zr1 0.0000 0.0000 0.0000  5 Mo 2.93-3.19, 4 Tl 3.22, 4 Zr 3.23
Tl1 0.5000 0.5000 0.6968  5 Mo 3.05-3.37, 4 Zr 3.22, 4 Tl 3.23
Mo1 0.0000 0.0000 0.4270  4 Mo 2.66
Mo2 0.5000 0.5000 0.2455  4 Mo 2.66, 4 Zr 2.93

Properties
As for the symmetry: P4mm (99). The total DFT energy (no corrections) is -8.001 eV per atom. As for the crystal system: tetragonal.

=====

(8)
A plane-wave DFT calculation with PBE was carried out for a geometry-optimized BeZnBr2 structure.

abc: 5.3354 3.3907 6.2929
angles: 90.00 108.11 90.00
Last column: nearest neighbours and their distance in Å.
Atoms (fractional coordinates):
Be1 0.0000 0.0000 0.0000  3 Br 2.13-2.25
Zn1 0.6962 0.5000 0.1450  2 Be 2.69, 2 Br 2.94
Br1 0.0092 0.5000 0.7663  2 Be 2.25
Br2 0.3324 0.0000 0.2947  1 Be 2.13

Properties
As for the symmetry: Pm (6). The total DFT energy (no corrections) is -2.443 eV per atom. As for the crystal system: monoclinic.

=====

(9)
A plane-wave DFT calculation with PBE was carried out for a geometry-optimized Cs2Sc3PbF12 structure.

abc: 7.6790 7.6790 7.6790
angles: 62.04 62.04 62.04
Last column: nearest neighbours and their distance in Å.
Atoms (fractional coordinates):
Cs1 0.1153 0.1153 0.1153  3 F 2.95
Cs2 0.8847 0.8847 0.8847  3 F 2.95
Sc1 0.0000 0.5000 0.5000  6 F 2.01-2.08
Sc2 0.5000 0.0000 0.5000  6 F 2.01-2.08
Sc3 0.5000 0.5000 0.0000  6 F 2.01-2.08
Pb1 0.5000 0.5000 0.5000  6 F 2.66
F1 0.0870 0.6186 0.6186  1 Sc 2.01
F2 0.2032 0.2032 0.5947  2 Sc 2.08
F3 0.2032 0.5947 0.2032  2 Sc 2.08
F4 0.3814 0.3814 0.9130  1 Sc 2.01
F5 0.3814 0.9130 0.3814  1 Sc 2.01
F6 0.4053 0.7968 0.7968  2 Sc 2.08
F7 0.5947 0.2032 0.2032  2 Sc 2.08
F8 0.6186 0.0870 0.6186  1 Sc 2.01
F9 0.6186 0.6186 0.0870  1 Sc 2.01
F10 0.7968 0.4053 0.7968  2 Sc 2.08
F11 0.7968 0.7968 0.4053  2 Sc 2.08
F12 0.9130 0.3814 0.3814  1 Sc 2.01

Properties
As for the symmetry: R-3m (166). The total DFT energy (no corrections) is -6.013 eV per atom. As for the crystal system: trigonal.

=====

(10)
A plane-wave DFT calculation with PBE was carried out for a geometry-optimized YNiAs2Se structure.

abc: 4.5751 4.5751 4.9977
angles: 90.00 90.00 90.00
Last column: nearest neighbours and their distance in Å.
Atoms (fractional coordinates):
Y1 0.0000 0.0000 0.0000  4 Se 3.24, 8 As 3.39
Ni1 0.5000 0.5000 0.5000  4 As 2.29, 2 Se 2.50
As1 0.0000 0.5000 0.5000  2 Ni 2.29
As2 0.5000 0.0000 0.5000  2 Ni 2.29
Se1 0.5000 0.5000 0.0000  2 Ni 2.50

Properties
As for the symmetry: P4/mmm (123). The total DFT energy (no corrections) is -5.352 eV per atom. As for the crystal system: tetragonal.

=====

(11)
A plane-wave DFT calculation with PBE was carried out for a geometry-optimized InAu2Se structure.

abc: 7.3840 7.3840 7.3840
angles: 129.91 129.91 73.55
Last column: nearest neighbours and their distance in Å.
Atoms (fractional coordinates):
In1 0.0000 0.0000 0.0000  4 Au 2.78
In2 0.7500 0.2500 0.5000  4 Au 2.78
Au1 0.1563 0.6250 0.0313  2 Se 2.55, 2 In 2.78
Au2 0.3750 0.4063 0.5313  2 Se 2.55, 2 In 2.78
Au3 0.5937 0.1250 0.9687  2 Se 2.55, 2 In 2.78
Au4 0.8750 0.8437 0.4687  2 Se 2.55, 2 In 2.78
Se1 0.2500 0.7500 0.5000  4 Au 2.55
Se2 0.5000 0.5000 0.0000  4 Au 2.55

Properties
As for the symmetry: I-42d (122). The total DFT energy (no corrections) is -3.143 eV per atom. As for the crystal system: tetragonal.

=====

Number 1: volume 14.2 A^3/atom. Number 2: volume 6.7 A^3/atom. Number 3: volume 32.6 A^3/atom. Number 4: volume 13.2 A^3/atom. Number 5: volume 33.3 A^3/atom. Number 6: volume 27.7 A^3/atom. Number 7: volume 19.5 A^3/atom. Number 8: volume 27.1 A^3/atom. Number 9: volume 18.6 A^3/atom. Number 10: volume 20.9 A^3/atom. Number 11: volume 28.9 A^3/atom.